(1)
# CsHf3Mg (PBE-GGA, optimized geometry)
# E_tot	-4.84	eV/atom
# DFT formation energy	8.094	eV/f.u.
# energy above the lowest structure with this stoichiometry	0.0000	eV per atom
data_CsHf3Mg
_symmetry_space_group_name_H-M 'P m -3 m'
_symmetry_Int_Tables_number 221
_symmetry_space_group_name_Hall '-P 4 2 3'
_cell_length_a 5.326
_cell_length_b 5.326
_cell_length_c 5.326
_cell_angle_alpha 90.00
_cell_angle_beta 90.00
_cell_angle_gamma 90.00
loop_
_atom_site_label
_atom_site_type_symbol
_atom_site_fract_x
_atom_site_fract_y
_atom_site_fract_z
Cs1 Cs 0.000 0.000 0.000
Hf1 Hf 0.000 0.500 0.500
Mg1 Mg 0.500 0.500 0.500

***

(2)
# Cu5S2O (PBE-GGA, optimized geometry)
# energy relative to the elements, uncorrected	-1.5	eV/f.u.
# E_tot	-4.40	eV/atom
data_Cu5S2O
_symmetry_space_group_name_H-M 'C m c m'
_symmetry_Int_Tables_number 63
_symmetry_space_group_name_Hall '-C 2c 2'
_cell_length_a 3.789
_cell_length_b 11.584
_cell_length_c 11.378
_cell_angle_alpha 90.00
_cell_angle_beta 90.00
_cell_angle_gamma 90.00
loop_
_atom_site_label
_atom_site_type_symbol
_atom_site_fract_x
_atom_site_fract_y
_atom_site_fract_z
Cu1 Cu 0.000 0.090 0.093
Cu2 Cu 0.000 0.311 0.036
Cu3 Cu 0.000 0.320 0.750
S1 S 0.000 0.115 0.603
O1 O 0.000 0.151 0.250

***

(3)
# Tb5Dy12Y2 (PBE-GGA, optimized geometry)
# E_tot	-4.52	eV/atom
# DFT formation energy	5.339	eV/f.u.
# energy above the lowest structure with this stoichiometry	0.1641	eV per atom
data_Tb5Dy12Y2
_symmetry_space_group_name_H-M 'C 1 2/m 1'
_symmetry_Int_Tables_number 12
_cell_length_a 17.054
_cell_length_b 7.062
_cell_length_c 10.678
_cell_angle_alpha 90.00
_cell_angle_beta 101.87
_cell_angle_gamma 90.00
loop_
_symmetry_equiv_pos_as_xyz
'x,y,z'
'-x,-y,-z'
'-x,y,-z'
'x,-y,z'
'x+1/2,y+1/2,z'
'-x+1/2,-y+1/2,-z'
'-x+1/2,y+1/2,-z'
'x+1/2,-y+1/2,z'
loop_
_atom_site_label
_atom_site_type_symbol
_atom_site_fract_x
_atom_site_fract_y
_atom_site_fract_z
Tb1 Tb 0.000 0.000 0.000
Tb2 Tb 0.220 0.000 0.495
Tb3 Tb 0.232 0.000 0.994
Dy1 Dy 0.042 0.000 0.753
Dy2 Dy 0.052 0.500 0.872
Dy3 Dy 0.128 0.257 0.223
Dy4 Dy 0.182 0.272 0.722
Y1 Y 0.000 0.264 0.500

***

(4)
# KV3Mo (PBE-GGA, optimized geometry)
# E_tot	-6.48	eV/atom
# DFT formation energy	6.896	eV/f.u.
# energy above the lowest structure with this stoichiometry	0.0000	eV per atom
data_KV3Mo
_symmetry_space_group_name_H-M 'P m -3 m'
_symmetry_Int_Tables_number 221
_symmetry_space_group_name_Hall '-P 4 2 3'
_cell_length_a 4.904
_cell_length_b 4.904
_cell_length_c 4.904
_cell_angle_alpha 90.00
_cell_angle_beta 90.00
_cell_angle_gamma 90.00
loop_
_atom_site_label
_atom_site_type_symbol
_atom_site_fract_x
_atom_site_fract_y
_atom_site_fract_z
K1 K 0.000 0.000 0.000
V1 V 0.000 0.500 0.500
Mo1 Mo 0.500 0.500 0.500

***

(5)
# LiTbCeFe (PBE-GGA, optimized geometry)
# E_tot	-5.10	eV/atom
# DFT formation energy	0.558	eV/f.u.
data_LiTbCeFe
_symmetry_space_group_name_H-M 'F -4 3 m'
_symmetry_Int_Tables_number 216
_symmetry_space_group_name_Hall 'F -4 2 3'
_cell_length_a 6.898
_cell_length_b 6.898
_cell_length_c 6.898
_cell_angle_alpha 90.00
_cell_angle_beta 90.00
_cell_angle_gamma 90.00
loop_
_atom_site_label
_atom_site_type_symbol
_atom_site_fract_x
_atom_site_fract_y
_atom_site_fract_z
Li1 Li 0.000 0.000 0.000
Tb1 Tb 0.250 0.250 0.750
Ce1 Ce 0.250 0.250 0.250
Fe1 Fe 0.000 0.000 0.500

***

(6)
# DyCrS3 (PBE-GGA, optimized geometry)
# energy relative to the elements, uncorrected	-6.0	eV/f.u.
# E_tot	-6.53	eV/atom
data_DyCrS3
_symmetry_space_group_name_H-M 'C m m m'
_symmetry_Int_Tables_number 65
_symmetry_space_group_name_Hall '-C 2 2'
_cell_length_a 8.694
_cell_length_b 12.201
_cell_length_c 3.613
_cell_angle_alpha 90.00
_cell_angle_beta 90.00
_cell_angle_gamma 90.00
loop_
_atom_site_label
_atom_site_type_symbol
_atom_site_fract_x
_atom_site_fract_y
_atom_site_fract_z
Dy1 Dy 0.000 0.000 0.000
Dy2 Dy 0.000 0.500 0.500
Cr1 Cr 0.250 0.250 0.000
S1 S 0.000 0.332 0.000
S2 S 0.196 0.123 0.500